<i>
Here is Sr2LiCo at its PBEsol-relaxed geometry from Alexandria. Energies are from SCAN.

Cell: 7.4510 7.4510 7.4510 Å, 90.00 90.00 90.00°
Last column: nearest neighbours and their distance in Å.
Space group Fm-3m (No. 225)
Unique sites:
Sr 0.2500 0.2500 0.2500 [8 per cell]  4 Li 3.23, 4 Co 3.23
Li 0.0000 0.0000 0.0000 [4 per cell]  8 Sr 3.23
Co 0.0000 0.0000 0.5000 [4 per cell]  8 Sr 3.23

## Properties
ρ   3.872 g cm⁻³



<ii>
Here is Sr2LiCo at its PBEsol-relaxed geometry from Alexandria. Energies are from SCAN.

Cell: 7.4106 7.4106 7.4106 Å, 90.00 90.00 90.00°
Last column: nearest neighbours and their distance in Å.
Space group F-43m (No. 216)
Unique sites:
Sr 0.0000 0.0000 0.0000 [4 per cell]  4 Co 3.21, 4 Sr 3.21
Sr 0.2500 0.2500 0.2500 [4 per cell]  4 Li 3.21, 4 Sr 3.21
Li 0.0000 0.0000 0.5000 [4 per cell]  4 Co 3.21, 4 Sr 3.21
Co 0.2500 0.2500 0.7500 [4 per cell]  4 Li 3.21, 4 Sr 3.21

## Properties
ρ   3.935 g cm⁻³



Most stable structure - <i>; separation to the second - 0.316 eV/atom.



<i>
Here is LiTa2Co at its PBEsol-relaxed geometry from Alexandria. Energies are from SCAN.

Cell: 3.2820 4.3439 8.1534 Å, 90.00 90.00 90.00°
Last column: nearest neighbours and their distance in Å.
Space group Immm (No. 71)
Unique sites:
Li 0.0000 0.0000 0.0000 [2 per cell]  4 Co 2.72, 8 Ta 2.75-2.86
Ta 0.0000 0.5000 0.2289 [4 per cell]  2 Co 2.49, 4 Ta 2.74, 2 Li 2.75
Co 0.0000 0.0000 0.5000 [2 per cell]  4 Ta 2.49, 4 Li 2.72

## Properties
ρ   12.221 g cm⁻³



<ii>
Here is LiTa2Co at its PBEsol-relaxed geometry from Alexandria. Energies are from SCAN.

Cell: 4.0251 4.0251 3.4460 Å, 90.00 90.00 90.00°
Last column: nearest neighbours and their distance in Å.
Space group P4/mmm (No. 123)
Unique sites:
Li 0.0000 0.0000 0.0000 [1 per cell]  8 Ta 2.65, 4 Co 2.85
Ta 0.0000 0.5000 0.5000 [2 per cell]  4 Li 2.65, 4 Co 2.65, 4 Ta 2.85
Co 0.5000 0.5000 0.0000 [1 per cell]  8 Ta 2.65, 4 Li 2.85

## Properties
ρ   12.723 g cm⁻³



Most stable structure - <ii>; separation to the second - 0.012 eV/atom.



<i>
Here is Li2CoTc at its PBEsol-relaxed geometry from Alexandria. Energies are from SCAN.

Cell: 2.4561 4.5192 4.4411 Å, 90.00 94.92 90.00°
Last column: nearest neighbours and their distance in Å.
Space group P2/m (No. 10)
Unique sites:
Li 0.1912 0.0000 0.2532 [2 per cell]  5 Li 2.36-2.56, 2 Co 2.57
Co 0.0000 0.5000 0.5000 [1 per cell]  4 Tc 2.44-2.63, 2 Co 2.46, 4 Li 2.57
Tc 0.5000 0.5000 0.0000 [1 per cell]  4 Co 2.44-2.63, 2 Tc 2.46, 4 Li 2.66

## Properties
ρ   5.775 g cm⁻³



<ii>
Here is Li2CoTc at its PBEsol-relaxed geometry from Alexandria. Energies are from SCAN.

Cell: 4.4557 4.4557 2.3983 Å, 90.00 90.00 90.00°
Last column: nearest neighbours and their distance in Å.
Space group P4/mmm (No. 123)
Unique sites:
Li 0.0000 0.5000 0.0000 [2 per cell]  2 Li 2.40, 4 Co 2.53, 4 Tc 2.53
Co 0.0000 0.0000 0.5000 [1 per cell]  2 Co 2.40, 8 Li 2.53
Tc 0.5000 0.5000 0.5000 [1 per cell]  2 Tc 2.40, 8 Li 2.53

## Properties
ρ   5.957 g cm⁻³



Most stable structure - <i>; separation to the second - 0.354 eV/atom.



<i>
Here is LiCo2Tc at its PBEsol-relaxed geometry from Alexandria. Energies are from SCAN.

Cell: 4.1848 4.1848 2.6152 Å, 90.00 90.00 90.00°
Last column: nearest neighbours and their distance in Å.
Space group P4/mmm (No. 123)
Unique sites:
Li 0.0000 0.0000 0.0000 [1 per cell]  8 Co 2.47, 2 Li 2.62
Co 0.0000 0.5000 0.5000 [2 per cell]  4 Li 2.47, 4 Tc 2.47, 2 Co 2.62
Tc 0.5000 0.5000 0.0000 [1 per cell]  8 Co 2.47, 2 Tc 2.62

## Properties
ρ   8.078 g cm⁻³



<ii>
Here is LiCo2Tc at its PBEsol-relaxed geometry from Alexandria. Energies are from SCAN.

Cell: 2.6530 2.6530 6.3652 Å, 90.00 90.00 90.00°
Last column: nearest neighbours and their distance in Å.
Space group P4/mmm (No. 123)
Unique sites:
Li 0.0000 0.0000 0.0000 [1 per cell]  8 Co 2.44, 4 Li 2.65
Co 0.5000 0.5000 0.2443 [2 per cell]  4 Li 2.44, 4 Tc 2.48, 4 Co 2.65
Tc 0.0000 0.0000 0.5000 [1 per cell]  8 Co 2.48, 4 Tc 2.65

## Properties
ρ   8.259 g cm⁻³



<iii>
Here is LiCo2Tc at its PBEsol-relaxed geometry from Alexandria. Energies are from SCAN.

Cell: 5.5979 5.5979 5.5979 Å, 90.00 90.00 90.00°
Last column: nearest neighbours and their distance in Å.
Space group F-43m (No. 216)
Unique sites:
Li 0.0000 0.0000 0.0000 [4 per cell]  4 Co 2.42, 4 Tc 2.42
Co 0.0000 0.0000 0.5000 [4 per cell]  4 Co 2.42, 4 Tc 2.42
Co 0.2500 0.2500 0.2500 [4 per cell]  4 Li 2.42, 4 Co 2.42
Tc 0.2500 0.2500 0.7500 [4 per cell]  4 Li 2.42, 4 Co 2.42

## Properties
ρ   8.437 g cm⁻³



Most stable structure - <i>; separation to the second - 0.130 eV/atom.